First-principles (GGA-PBE) data for a geometry-optimized Li3Tl3Bi structure, as listed in Alexandria.

## Properties
Energy of formation ... -0.202 eV per atom

Lattice parameters (Å, degrees): 8.8107 8.8107 8.8107 90.00 90.00 90.00
Space group P2_13 (No. 198)
Unique sites:
Li1 0.0502 0.2721 0.8535 (multiplicity 12)
Tl1 0.0434 0.4566 0.5434 (multiplicity 4)
Tl2 0.1337 0.8663 0.3663 (multiplicity 4)
Tl3 0.1828 0.1828 0.1828 (multiplicity 4)
Bi1 0.0980 0.5980 0.9020 (multiplicity 4)